[1]
LiSm2CoO6 | PBE+U | optimized geometry

Unit cell a=5.296 b=5.596 c=7.556 alpha=90.00 beta=89.46 gamma=90.00
Last column: magnetic moment on the atom in μB.
Element x y z (fractional)
O 0.288 0.688 0.043  0.03
O 0.319 0.721 0.455  0.08
Sm 0.984 0.069 0.748  0.01
O 0.819 0.779 0.955  0.08
O 0.417 0.979 0.741  0.04
Sm 0.484 0.431 0.248  0.01
Co 0.000 0.500 0.000  1.65
O 0.083 0.479 0.759  0.04
Sm 0.516 0.569 0.752  0.01
O 0.681 0.279 0.545  0.08
O 0.712 0.312 0.957  0.03
Li 0.000 0.500 0.500  0.00
O 0.583 0.021 0.259  0.04
Sm 0.016 0.931 0.252  0.01
O 0.788 0.812 0.543  0.03
O 0.212 0.188 0.457  0.03
O 0.917 0.521 0.241  0.04
Co 0.500 0.000 0.500  1.65
O 0.181 0.221 0.045  0.08
Li 0.500 0.000 0.000  0.00

Summary:
**Spin magnetization**: 4.14 Bohr magnetons per cell
**Calculated total energy**: -6.87 eV/atom

=====

[2]
LiSm2Co2O6 | PBE+U | optimized geometry

Unit cell a=5.731 b=5.731 c=6.241 alpha=62.67 beta=62.67 gamma=60.00
Last column: magnetic moment on the atom in μB.
Element x y z (fractional)
Sm 0.802 0.802 0.595  0.01
O 0.784 0.248 0.720  0.23
Co 0.412 0.412 0.764  2.71
O 0.752 0.216 0.280  0.23
O 0.216 0.752 0.280  0.23
O 0.752 0.752 0.280  0.23
Li 0.000 0.000 0.000  0.01
O 0.248 0.248 0.720  0.23
Sm 0.198 0.198 0.405  0.01
Co 0.588 0.588 0.236  2.71
O 0.248 0.784 0.720  0.23

Summary:
**Spin magnetization**: 7.00 Bohr magnetons per cell
**Density of states at the Fermi level**: 3.98 states/eV/cell
**Calculated total energy**: -6.45 eV/atom